[1]
Density functional theory data (PBE) for an optimized crystal structure of KFeIr2.

```
data_KFeIr2
_chemical_formula_sum 'K1 Fe1 Ir2'
_cell_length_a 2.727
_cell_length_b 4.864
_cell_length_c 5.047
_cell_angle_alpha 90.00
_cell_angle_beta 90.00
_cell_angle_gamma 90.00
_symmetry_space_group_name_H-M 'P 1'
_symmetry_Int_Tables_number 1
loop_
_symmetry_equiv_pos_as_xyz
'x,y,z'
loop_
_atom_site_label
_atom_site_fract_x
_atom_site_fract_y
_atom_site_fract_z
Fe1 0.000 0.500 0.500
Ir1 0.500 0.500 0.000
Ir2 0.000 0.000 0.000
K1 0.500 0.000 0.500
```

Properties
Total magnetization = 3.75 μB per cell
Space-group type = Pmmm, No. 47
Energy above the lowest structure with this stoichiometry = 540 meV per atom

[2]
Density functional theory data (PBE) for an optimized crystal structure of SbPb2Cl.

```
data_SbPb2Cl
_chemical_formula_sum 'Sb1 Pb2 Cl1'
_cell_length_a 5.948
_cell_length_b 3.484
_cell_length_c 5.945
_cell_angle_alpha 89.86
_cell_angle_beta 90.00
_cell_angle_gamma 90.00
_symmetry_space_group_name_H-M 'P 1'
_symmetry_Int_Tables_number 1
loop_
_symmetry_equiv_pos_as_xyz
'x,y,z'
loop_
_atom_site_label
_atom_site_fract_x
_atom_site_fract_y
_atom_site_fract_z
Pb1 0.500 0.044 0.375
Pb2 0.000 0.954 0.875
Cl1 0.500 0.004 0.875
Sb1 0.000 0.497 0.375
```

Properties
Total magnetization = 0.00 μB per cell
Space-group type = Pm, No. 6
Formation energy from raw total energies = -0.32 eV per atom
Energy above the lowest structure with this stoichiometry = 101 meV per atom

[3]
Density functional theory data (PBE) for an optimized crystal structure of Cs3ZrU2Se6.

```
data_Cs3ZrU2Se6
_chemical_formula_sum 'Cs3 Zr1 U2 Se6'
_cell_length_a 7.218
_cell_length_b 7.218
_cell_length_c 8.797
_cell_angle_alpha 97.86
_cell_angle_beta 97.86
_cell_angle_gamma 120.01
_symmetry_space_group_name_H-M 'P 1'
_symmetry_Int_Tables_number 1
loop_
_symmetry_equiv_pos_as_xyz
'x,y,z'
loop_
_atom_site_label
_atom_site_fract_x
_atom_site_fract_y
_atom_site_fract_z
Se1 0.260 0.260 0.812
Se2 0.615 0.938 0.813
Se3 0.740 0.740 0.188
Se4 0.938 0.615 0.813
Se5 0.062 0.385 0.187
Se6 0.385 0.062 0.187
U1 0.667 0.333 0.000
U2 0.333 0.667 0.000
Cs1 0.500 0.500 0.500
Cs2 0.832 0.168 0.500
Cs3 0.168 0.832 0.500
Zr1 0.000 0.000 0.000
```

Properties
Total magnetization = 6.84 μB per cell
Space-group type = C2/m, No. 12
Formation energy from raw total energies = -1.23 eV per atom

[4]
Density functional theory data (PBE) for an optimized crystal structure of LiCu.

```
data_LiCu
_chemical_formula_sum 'Li6 Cu6'
_cell_length_a 6.994
_cell_length_b 6.994
_cell_length_c 6.994
_cell_angle_alpha 90.00
_cell_angle_beta 90.00
_cell_angle_gamma 90.00
_symmetry_space_group_name_H-M 'P 1'
_symmetry_Int_Tables_number 1
loop_
_symmetry_equiv_pos_as_xyz
'x,y,z'
loop_
_atom_site_label
_atom_site_fract_x
_atom_site_fract_y
_atom_site_fract_z
Cu1 0.000 0.250 0.500
Cu2 0.500 0.000 0.750
Cu3 0.000 0.750 0.500
Cu4 0.750 0.500 0.000
Cu5 0.250 0.500 0.000
Cu6 0.500 0.000 0.250
Li1 0.000 0.500 0.250
Li2 0.500 0.250 0.000
Li3 0.750 0.000 0.500
Li4 0.500 0.750 0.000
Li5 0.000 0.500 0.750
Li6 0.250 0.000 0.500
```

Properties
Total magnetization = 0.00 μB per cell
Space-group type = Pm-3n, No. 223
Calculated total energy = -2.2964 eV/atom

[5]
Density functional theory data (PBE) for an optimized crystal structure of YIn6Se8.

```
data_YIn6Se8
_chemical_formula_sum 'Y1 In6 Se8'
_cell_length_a 7.557
_cell_length_b 7.557
_cell_length_c 7.557
_cell_angle_alpha 88.75
_cell_angle_beta 88.75
_cell_angle_gamma 88.75
_symmetry_space_group_name_H-M 'P 1'
_symmetry_Int_Tables_number 1
loop_
_symmetry_equiv_pos_as_xyz
'x,y,z'
loop_
_atom_site_label
_atom_site_fract_x
_atom_site_fract_y
_atom_site_fract_z
In1 0.386 0.889 0.617
In2 0.111 0.383 0.614
In3 0.614 0.111 0.383
In4 0.889 0.617 0.386
In5 0.617 0.386 0.889
In6 0.383 0.614 0.111
Se1 0.172 0.842 0.308
Se2 0.673 0.673 0.673
Se3 0.828 0.158 0.692
Se4 0.692 0.828 0.158
Se5 0.327 0.327 0.327
Se6 0.842 0.308 0.172
Se7 0.308 0.172 0.842
Se8 0.158 0.692 0.828
Y1 0.000 0.000 0.000
```

Properties
Total magnetization = 0.00 μB per cell
Space-group type = R-3, No. 148
Formation energy from raw total energies = -0.59 eV per atom

[6]
Density functional theory data (PBE) for an optimized crystal structure of CdIn2As2.

```
data_CdIn2As2
_chemical_formula_sum 'Cd1 In2 As2'
_cell_length_a 4.747
_cell_length_b 4.747
_cell_length_c 6.876
_cell_angle_alpha 69.81
_cell_angle_beta 69.81
_cell_angle_gamma 90.00
_symmetry_space_group_name_H-M 'P 1'
_symmetry_Int_Tables_number 1
loop_
_symmetry_equiv_pos_as_xyz
'x,y,z'
loop_
_atom_site_label
_atom_site_fract_x
_atom_site_fract_y
_atom_site_fract_z
Cd1 0.000 0.000 0.000
In1 0.750 0.250 0.500
In2 0.250 0.750 0.500
As1 0.381 0.381 0.239
As2 0.619 0.619 0.761
```

Properties
Total magnetization = 0.00 μB per cell
Space-group type = I4/mmm, No. 139
Calculated total energy = -3.0346 eV/atom

[7]
Density functional theory data (PBE) for an optimized crystal structure of Tl3AgRh.

```
data_Tl3AgRh
_chemical_formula_sum 'Tl3 Ag1 Rh1'
_cell_length_a 5.279
_cell_length_b 5.279
_cell_length_c 5.279
_cell_angle_alpha 90.00
_cell_angle_beta 90.00
_cell_angle_gamma 90.00
_symmetry_space_group_name_H-M 'P 1'
_symmetry_Int_Tables_number 1
loop_
_symmetry_equiv_pos_as_xyz
'x,y,z'
loop_
_atom_site_label
_atom_site_fract_x
_atom_site_fract_y
_atom_site_fract_z
Tl1 0.500 0.000 0.000
Tl2 0.000 0.500 0.000
Tl3 0.000 0.000 0.500
Ag1 0.500 0.500 0.500
Rh1 0.000 0.000 0.000
```

Properties
Total magnetization = 0.00 μB per cell
Space-group type = Pm-3m, No. 221
Energy above the lowest structure with this stoichiometry = 0 meV per atom

[8]
Density functional theory data (PBE) for an optimized crystal structure of La2In2Mo.

```
data_La2In2Mo
_chemical_formula_sum 'La2 In2 Mo1'
_cell_length_a 3.954
_cell_length_b 3.954
_cell_length_c 9.874
_cell_angle_alpha 78.45
_cell_angle_beta 78.45
_cell_angle_gamma 90.00
_symmetry_space_group_name_H-M 'P 1'
_symmetry_Int_Tables_number 1
loop_
_symmetry_equiv_pos_as_xyz
'x,y,z'
loop_
_atom_site_label
_atom_site_fract_x
_atom_site_fract_y
_atom_site_fract_z
La1 0.588 0.588 0.824
La2 0.412 0.412 0.176
Mo1 0.000 0.000 0.000
In1 0.750 0.250 0.500
In2 0.250 0.750 0.500
```

Properties
Total magnetization = 0.85 μB per cell
Space-group type = I4/mmm, No. 139
Energy above the lowest structure with this stoichiometry = 0 meV per atom

[9]
Density functional theory data (PBE) for an optimized crystal structure of ZrMn2I8.

```
data_ZrMn2I8
_chemical_formula_sum 'Zr1 Mn2 I8'
_cell_length_a 7.004
_cell_length_b 8.935
_cell_length_c 8.935
_cell_angle_alpha 64.61
_cell_angle_beta 91.00
_cell_angle_gamma 91.00
_symmetry_space_group_name_H-M 'P 1'
_symmetry_Int_Tables_number 1
loop_
_symmetry_equiv_pos_as_xyz
'x,y,z'
loop_
_atom_site_label
_atom_site_fract_x
_atom_site_fract_y
_atom_site_fract_z
I1 0.227 0.164 0.164
I2 0.708 0.337 0.337
I3 0.764 0.291 0.858
I4 0.236 0.709 0.142
I5 0.292 0.663 0.663
I6 0.773 0.836 0.836
I7 0.236 0.142 0.709
I8 0.764 0.858 0.291
Mn1 0.382 0.829 0.829
Mn2 0.618 0.171 0.171
Zr1 0.000 0.000 0.000
```

Properties
Total magnetization = 10.00 μB per cell
Space-group type = C2/m, No. 12
Formation energy from raw total energies = -0.59 eV per atom

[10]
Density functional theory data (PBE) for an optimized crystal structure of OsPbNF2.

```
data_OsPbNF2
_chemical_formula_sum 'Os1 Pb1 N1 F2'
_cell_length_a 4.495
_cell_length_b 4.495
_cell_length_c 3.767
_cell_angle_alpha 90.00
_cell_angle_beta 90.00
_cell_angle_gamma 90.00
_symmetry_space_group_name_H-M 'P 1'
_symmetry_Int_Tables_number 1
loop_
_symmetry_equiv_pos_as_xyz
'x,y,z'
loop_
_atom_site_label
_atom_site_fract_x
_atom_site_fract_y
_atom_site_fract_z
N1 0.000 0.000 0.500
F1 0.000 0.500 0.000
F2 0.500 0.000 0.000
Os1 0.000 0.000 0.000
Pb1 0.500 0.500 0.500
```

Properties
Total magnetization = 0.03 μB per cell
Space-group type = P4/mmm, No. 123
Formation energy from raw total energies = -0.46 eV per atom
Energy above the lowest structure with this stoichiometry = 0 meV per atom

[11]
Density functional theory data (PBE) for an optimized crystal structure of TbGd2O.

```
data_TbGd2O
_chemical_formula_sum 'Tb1 Gd2 O1'
_cell_length_a 3.568
_cell_length_b 3.568
_cell_length_c 9.049
_cell_angle_alpha 78.63
_cell_angle_beta 78.63
_cell_angle_gamma 60.00
_symmetry_space_group_name_H-M 'P 1'
_symmetry_Int_Tables_number 1
loop_
_symmetry_equiv_pos_as_xyz
'x,y,z'
loop_
_atom_site_label
_atom_site_fract_x
_atom_site_fract_y
_atom_site_fract_z
O1 0.000 0.000 0.000
Tb1 0.500 0.500 0.500
Gd1 0.719 0.719 0.842
Gd2 0.281 0.281 0.158
```

Properties
Total magnetization = 14.26 μB per cell
Space-group type = R-3m, No. 166
Formation energy from raw total energies = -1.31 eV per atom
Energy above the lowest structure with this stoichiometry = 0 meV per atom

[12]
Density functional theory data (PBE) for an optimized crystal structure of Ac2Pm2PrNd4.

```
data_Ac2Pm2PrNd4
_chemical_formula_sum 'Ac2 Pm2 Pr1 Nd4'
_cell_length_a 3.788
_cell_length_b 9.966
_cell_length_c 10.073
_cell_angle_alpha 115.13
_cell_angle_beta 90.00
_cell_angle_gamma 100.95
_symmetry_space_group_name_H-M 'P 1'
_symmetry_Int_Tables_number 1
loop_
_symmetry_equiv_pos_as_xyz
'x,y,z'
loop_
_atom_site_label
_atom_site_fract_x
_atom_site_fract_y
_atom_site_fract_z
Ac1 0.148 0.295 0.667
Ac2 0.852 0.705 0.333
Nd1 0.482 0.964 0.676
Nd2 0.183 0.366 0.330
Nd3 0.817 0.634 0.670
Nd4 0.518 0.036 0.324
Pm1 0.334 0.668 0.995
Pm2 0.666 0.332 0.005
Pr1 0.000 0.000 0.000
```

Properties
Total magnetization = 0.00 μB per cell
Space-group type = C2/m, No. 12
Calculated total energy = -4.5906 eV/atom